Computed, not measured: an optimized crystal structure of LiAlCuTc at the GGA-PBE level of DFT.

The structure belongs to space group F-43m (No. 216); the cell edges are 5.9390, 5.9390 and 5.9390 Å and the angles 90.00°, 90.00° and 90.00°. The asymmetric unit holds Li at (0.0000, 0.0000, 0.0000), Al at (0.2500, 0.2500, 0.7500), Cu at (0.0000, 0.0000, 0.5000) and Tc at (0.2500, 0.2500, 0.2500).

The value obtained for the electronic total energy is -4.79 eV per atom.


Computed, not measured: an optimized crystal structure of LiAlCuTc at the GGA-PBE level of DFT.

The structure belongs to space group F-43m (No. 216); the cell edges are 5.9165, 5.9165 and 5.9165 Å and the angles 90.00°, 90.00° and 90.00°. The asymmetric unit holds Li at (0.0000, 0.0000, 0.0000), Al at (0.0000, 0.0000, 0.5000), Cu at (0.2500, 0.2500, 0.7500) and Tc at (0.2500, 0.2500, 0.2500).

The value obtained for the electronic total energy is -4.91 eV per atom.


Computed, not measured: an optimized crystal structure of LiAl2CuTe4 at the GGA-PBE level of DFT.

The structure belongs to space group I-4 (No. 82); the cell edges are 6.2301, 6.2301 and 11.9658 Å and the angles 90.00°, 90.00° and 90.00°. The asymmetric unit holds Li at (0.0000, 0.0000, 0.0000), Al at (0.0000, 0.0000, 0.5000), Al at (0.0000, 0.5000, 0.7500), Cu at (0.0000, 0.5000, 0.2500) and Te at (0.2422, 0.7523, 0.3718).

The value obtained for the electronic total energy is -3.73 eV per atom.


Computed, not measured: an optimized crystal structure of Li4AlZn2Cu at the GGA-PBE level of DFT.

The structure belongs to space group P-4m2 (No. 115); the cell edges are 4.2564, 4.2564 and 6.0439 Å and the angles 90.00°, 90.00° and 90.00°. The asymmetric unit holds Li at (0.0000, 0.0000, 0.0000), Li at (0.0000, 0.5000, 0.2325), Li at (0.5000, 0.5000, 0.5000), Al at (0.0000, 0.0000, 0.5000), Zn at (0.0000, 0.5000, 0.7592) and Cu at (0.5000, 0.5000, 0.0000).

The value obtained for the electronic total energy is -2.38 eV per atom.


Computed, not measured: an optimized crystal structure of Li4AlZnCu2 at the GGA-PBE level of DFT.

The structure belongs to space group P-4m2 (No. 115); the cell edges are 4.2307, 4.2307 and 5.9552 Å and the angles 90.00°, 90.00° and 90.00°. The asymmetric unit holds Li at (0.0000, 0.0000, 0.0000), Li at (0.0000, 0.5000, 0.2405), Li at (0.5000, 0.5000, 0.5000), Al at (0.0000, 0.0000, 0.5000), Zn at (0.5000, 0.5000, 0.0000) and Cu at (0.0000, 0.5000, 0.7422).

The value obtained for the electronic total energy is -2.67 eV per atom.


Computed, not measured: an optimized crystal structure of LiZrAl2Cu4 at the GGA-PBE level of DFT.

The structure belongs to space group P4/mmm (No. 123); the cell edges are 4.2743, 4.2743 and 6.1550 Å and the angles 90.00°, 90.00° and 90.00°. The asymmetric unit holds Li at (0.0000, 0.0000, 0.0000), Zr at (0.5000, 0.5000, 0.5000), Al at (0.0000, 0.0000, 0.5000), Al at (0.5000, 0.5000, 0.0000) and Cu at (0.0000, 0.5000, 0.2287).

The value obtained for the electronic total energy is -4.37 eV per atom.


Computed, not measured: an optimized crystal structure of LuAlCu at the GGA-PBE level of DFT.

The structure belongs to space group F-43m (No. 216); the cell edges are 6.5019, 6.5019 and 6.5019 Å and the angles 90.00°, 90.00° and 90.00°. The asymmetric unit holds Lu at (0.0000, 0.0000, 0.0000), Al at (0.2500, 0.2500, 0.7500) and Cu at (0.2500, 0.2500, 0.2500).

The value obtained for the electronic total energy is -3.56 eV per atom.


Computed, not measured: an optimized crystal structure of LuAl2Cu2 at the GGA-PBE level of DFT.

The structure belongs to space group P6_3/mmc (No. 194); the cell edges are 4.2333, 4.2333 and 12.4326 Å and the angles 90.00°, 90.00° and 120.00°. The asymmetric unit holds Lu at (0.0000, 0.0000, 0.0000), Al at (0.3333, 0.6667, 0.1465) and Cu at (0.3333, 0.6667, 0.6480).

The value obtained for the electronic total energy is -3.87 eV per atom.


> Which value of electronic total energy does entry 5 give?

-2.67 eV per atom


> Look up the electronic total energy of the seventh one.

-3.56 eV per atom


> Look up the electronic total energy of the second one.

-4.91 eV per atom